[1]
# LiSiAu3, optimized geometry, DFT PBE-GGA
data_LiSiAu3
_chemical_formula_sum 'Li2 Si2 Au6'
_space_group_name_H-M_alt 'P 1 21/m 1'
_space_group_IT_number 11
_cell_length_a 6.1117
_cell_length_b 5.6381
_cell_length_c 6.1124
_cell_angle_alpha 90.00
_cell_angle_beta 112.60
_cell_angle_gamma 90.00
loop_
_space_group_symop_operation_xyz
'x,y,z'
'-x,-y,-z'
'-x,y+1/2,-z'
'x,-y+1/2,z'
loop_
_atom_site_label
_atom_site_type_symbol
_atom_site_fract_x
_atom_site_fract_y
_atom_site_fract_z
Li1 Li 0.2460 0.2500 0.2522
Si1 Si 0.0652 0.7500 0.4347
Au1 Au 0.2892 0.0000 0.7891
Au2 Au 0.2952 0.7500 0.2046
# E_tot   -36.35 eV/cell
# Fermi-level density of states   2.75 states/eV per cell
# Calculated density   10.69 g/cm3
# Formation energy (no corrections)   -201.4 meV per atom
# Excess energy over the best structure of this formula in the dataset   0.040 eV per atom



[2]
# TbPm2Dy2Ho2, optimized geometry, DFT PBE-GGA
data_TbPm2Dy2Ho2
_chemical_formula_sum 'Tb3 Pm6 Dy6 Ho6'
_space_group_name_H-M_alt 'R -3 m'
_space_group_IT_number 166
_space_group_name_Hall '-R 3 2"'
_cell_length_a 5.6907
_cell_length_b 5.6907
_cell_length_c 24.3445
_cell_angle_alpha 90.00
_cell_angle_beta 90.00
_cell_angle_gamma 120.00
loop_
_atom_site_label
_atom_site_type_symbol
_atom_site_fract_x
_atom_site_fract_y
_atom_site_fract_z
Tb1 Tb 0.0000 0.0000 0.0000
Pm1 Pm 0.0000 0.0000 0.1383
Dy1 Dy 0.0000 0.0000 0.2810
Ho1 Ho 0.0000 0.0000 0.4235
# E_tot   -94.45 eV/cell
# E_form   0.1439 eV per atom
# Fermi-level density of states   53.77 states/eV per cell
# Calculated density   8.05 g/cm3



[3]
# MgFeMo2, optimized geometry, DFT PBE-GGA
data_MgFeMo2
_chemical_formula_sum 'Mg1 Fe1 Mo2'
_space_group_name_H-M_alt 'P 1 m 1'
_space_group_IT_number 6
_cell_length_a 2.6450
_cell_length_b 4.3896
_cell_length_c 5.3188
_cell_angle_alpha 90.00
_cell_angle_beta 98.42
_cell_angle_gamma 90.00
loop_
_space_group_symop_operation_xyz
'x,y,z'
'x,-y,z'
loop_
_atom_site_label
_atom_site_type_symbol
_atom_site_fract_x
_atom_site_fract_y
_atom_site_fract_z
Mg1 Mg 0.0000 0.0000 0.0000
Fe1 Fe 0.2229 0.5000 0.7511
Mo1 Mo 0.4799 0.0000 0.5080
Mo2 Mo 0.6885 0.5000 0.2656
# E_tot   -30.67 eV/cell
# E_form   0.2625 eV per atom
# Fermi-level density of states   3.16 states/eV per cell
# Calculated density   7.39 g/cm3



[4]
# Ca2ReP, optimized geometry, DFT PBE-GGA
data_Ca2ReP
_chemical_formula_sum 'Ca4 Re2 P2'
_space_group_name_H-M_alt 'A m m 2'
_space_group_IT_number 38
_cell_length_a 3.9944
_cell_length_b 4.5091
_cell_length_c 10.6208
_cell_angle_alpha 90.00
_cell_angle_beta 90.00
_cell_angle_gamma 90.00
loop_
_space_group_symop_operation_xyz
'x,y,z'
'-x,-y,z'
'-x,y,z'
'x,-y,z'
'x,y+1/2,z+1/2'
'-x,-y+1/2,z+1/2'
'-x,y+1/2,z+1/2'
'x,-y+1/2,z+1/2'
loop_
_atom_site_label
_atom_site_type_symbol
_atom_site_fract_x
_atom_site_fract_y
_atom_site_fract_z
Ca1 Ca 0.0000 0.0000 0.0000
Ca2 Ca 0.5000 0.0000 0.2898
Re1 Re 0.5000 0.0000 0.5964
P1 P 0.0000 0.0000 0.7008
# E_tot   -45.35 eV/cell
# E_form   -0.2033 eV per atom
# Fermi-level density of states   4.14 states/eV per cell
# Calculated density   5.16 g/cm3



[5]
# LiPr2Si3Ni12, optimized geometry, DFT PBE-GGA
data_LiPr2Si3Ni12
_chemical_formula_sum 'Li3 Pr6 Si9 Ni36'
_space_group_name_H-M_alt 'R -3 m'
_space_group_IT_number 166
_space_group_name_Hall '-R 3 2"'
_cell_length_a 8.4646
_cell_length_b 8.4646
_cell_length_c 11.9327
_cell_angle_alpha 90.00
_cell_angle_beta 90.00
_cell_angle_gamma 120.00
loop_
_atom_site_label
_atom_site_type_symbol
_atom_site_fract_x
_atom_site_fract_y
_atom_site_fract_z
Li1 Li 0.0000 0.0000 0.0000
Pr1 Pr 0.0000 0.0000 0.3526
Si1 Si 0.0000 0.5000 0.5000
Ni1 Ni 0.0173 0.5087 0.6922
Ni2 Ni 0.0179 0.5089 0.8894
# E_tot   -297.57 eV/cell
# Fermi-level density of states   35.99 states/eV per cell
# Calculated density   7.25 g/cm3
# Formation energy (no corrections)   -115.1 meV per atom



[6]
# Pm10PrEr4, optimized geometry, DFT PBE-GGA
data_Pm10PrEr4
_chemical_formula_sum 'Pm20 Pr2 Er8'
_space_group_name_H-M_alt 'I 4/m'
_space_group_IT_number 87
_space_group_name_Hall '-I 4'
_cell_length_a 12.7218
_cell_length_b 12.7218
_cell_length_c 6.8149
_cell_angle_alpha 90.00
_cell_angle_beta 90.00
_cell_angle_gamma 90.00
loop_
_atom_site_label
_atom_site_type_symbol
_atom_site_fract_x
_atom_site_fract_y
_atom_site_fract_z
Pm1 Pm 0.0000 0.5000 0.2500
Pm2 Pm 0.1274 0.7113 0.2454
Pr1 Pr 0.0000 0.0000 0.0000
Er1 Er 0.0673 0.1763 0.5000
# E_tot   -125.40 eV/cell
# E_form   0.5225 eV per atom
# Fermi-level density of states   54.92 states/eV per cell
# Calculated density   6.80 g/cm3



[7]
# K2SrZnCd, optimized geometry, DFT PBE-GGA
data_K2SrZnCd
_chemical_formula_sum 'K2 Sr1 Zn1 Cd1'
_space_group_name_H-M_alt 'P 4/m m m'
_space_group_IT_number 123
_space_group_name_Hall '-P 4 2'
_cell_length_a 7.9024
_cell_length_b 7.9024
_cell_length_c 6.1522
_cell_angle_alpha 90.00
_cell_angle_beta 90.00
_cell_angle_gamma 90.00
loop_
_atom_site_label
_atom_site_type_symbol
_atom_site_fract_x
_atom_site_fract_y
_atom_site_fract_z
K1 K 0.0000 0.5000 0.0000
Sr1 Sr 0.0000 0.0000 0.0000
Zn1 Zn 0.0000 0.0000 0.5000
Cd1 Cd 0.5000 0.5000 0.5000
# E_tot   -3.35 eV/cell
# E_form   0.5430 eV per atom
# Fermi-level density of states   5.22 states/eV per cell
# Calculated density   1.49 g/cm3



[8]
# ZrHg2Ir, optimized geometry, DFT PBE-GGA
data_ZrHg2Ir
_chemical_formula_sum 'Zr2 Hg4 Ir2'
_space_group_name_H-M_alt 'C 1 2/m 1'
_space_group_IT_number 12
_cell_length_a 9.9759
_cell_length_b 3.5150
_cell_length_c 4.6397
_cell_angle_alpha 90.00
_cell_angle_beta 104.66
_cell_angle_gamma 90.00
loop_
_space_group_symop_operation_xyz
'x,y,z'
'-x,-y,-z'
'-x,y,-z'
'x,-y,z'
'x+1/2,y+1/2,z'
'-x+1/2,-y+1/2,-z'
'-x+1/2,y+1/2,-z'
'x+1/2,-y+1/2,z'
loop_
_atom_site_label
_atom_site_type_symbol
_atom_site_fract_x
_atom_site_fract_y
_atom_site_fract_z
Zr1 Zr 0.0000 0.0000 0.0000
Hg1 Hg 0.2439 0.0000 0.7413
Ir1 Ir 0.0000 0.5000 0.5000
# E_tot   -36.31 eV/cell
# E_form   -0.0353 eV per atom
# Fermi-level density of states   4.16 states/eV per cell
# Calculated density   14.45 g/cm3
# Excess energy over the best structure of this formula in the dataset   0.152 eV per atom



[9]
# Ac2PuGeN5, optimized geometry, DFT PBE-GGA
data_Ac2PuGeN5
_chemical_formula_sum 'Ac8 Pu4 Ge4 N20'
_space_group_name_H-M_alt 'C m c 21'
_space_group_IT_number 36
_cell_length_a 3.5315
_cell_length_b 14.7665
_cell_length_c 11.0748
_cell_angle_alpha 90.00
_cell_angle_beta 90.00
_cell_angle_gamma 90.00
loop_
_space_group_symop_operation_xyz
'x,y,z'
'-x,-y,z+1/2'
'-x,y,z'
'x,-y,z+1/2'
'x+1/2,y+1/2,z'
'-x+1/2,-y+1/2,z+1/2'
'-x+1/2,y+1/2,z'
'x+1/2,-y+1/2,z+1/2'
loop_
_atom_site_label
_atom_site_type_symbol
_atom_site_fract_x
_atom_site_fract_y
_atom_site_fract_z
Ac1 Ac 0.0000 0.1089 0.0000
Ac2 Ac 0.0000 0.1363 0.6436
Pu1 Pu 0.0000 0.1991 0.3480
Ge1 Ge 0.0000 0.4505 0.7537
N1 N 0.0000 0.0399 0.3428
N2 N 0.0000 0.2885 0.9733
N3 N 0.0000 0.3219 0.7116
N4 N 0.0000 0.3389 0.3310
N5 N 0.0000 0.4912 0.1087
# E_tot   -305.18 eV/cell
# Fermi-level density of states   23.18 states/eV per cell
# Calculated density   9.67 g/cm3
# Formation energy (no corrections)   -833.6 meV per atom



[10]
# ReTeRu2, optimized geometry, DFT PBE-GGA
data_ReTeRu2
_chemical_formula_sum 'Re1 Te1 Ru2'
_space_group_name_H-M_alt 'P 1 2/m 1'
_space_group_IT_number 10
_cell_length_a 2.9607
_cell_length_b 3.7530
_cell_length_c 5.8365
_cell_angle_alpha 90.00
_cell_angle_beta 90.12
_cell_angle_gamma 90.00
loop_
_space_group_symop_operation_xyz
'x,y,z'
'-x,-y,-z'
'-x,y,-z'
'x,-y,z'
loop_
_atom_site_label
_atom_site_type_symbol
_atom_site_fract_x
_atom_site_fract_y
_atom_site_fract_z
Re1 Re 0.0000 0.0000 0.0000
Te1 Te 0.0000 0.0000 0.5000
Ru1 Ru 0.4998 0.5000 0.2264
# E_tot   -32.47 eV/cell
# Fermi-level density of states   4.83 states/eV per cell
# Calculated density   13.21 g/cm3
# Formation energy (no corrections)   417.1 meV per atom



[11]
# Li2HgBi2Pd4, optimized geometry, DFT PBE-GGA
data_Li2HgBi2Pd4
_chemical_formula_sum 'Li4 Hg2 Bi4 Pd8'
_space_group_name_H-M_alt 'I 4/m m m'
_space_group_IT_number 139
_space_group_name_Hall '-I 4 2'
_cell_length_a 6.6257
_cell_length_b 6.6257
_cell_length_c 7.8417
_cell_angle_alpha 90.00
_cell_angle_beta 90.00
_cell_angle_gamma 90.00
loop_
_atom_site_label
_atom_site_type_symbol
_atom_site_fract_x
_atom_site_fract_y
_atom_site_fract_z
Li1 Li 0.0000 0.0000 0.1886
Hg1 Hg 0.0000 0.0000 0.5000
Bi1 Bi 0.0000 0.5000 0.2500
Pd1 Pd 0.2165 0.2165 0.0000
# E_tot   -69.46 eV/cell
# E_form   -0.2299 eV per atom
# Fermi-level density of states   5.41 states/eV per cell
# Calculated density   10.21 g/cm3